Compound: V2TeO
Source: Alexandria via LeMat-Bulk
Functional: GGA+U
Structure: optimized geometry

Its total DFT energy (no corrections) is -87.14 eV for the cell shown. As for the density of states at the Fermi level: 16.764 states/eV per cell.

The space group is Fm-3m (No. 225) and the conventional cell measures 6.4642, 6.4642 and 6.4642 Å, with angles of 90.00, 90.00 and 90.00 degrees. The inequivalent atoms are V at (0.2500, 0.2500, 0.2500), Te at (0.0000, 0.0000, 0.0000) and O at (0.0000, 0.0000, 0.5000).